! GGA+U Li2Mn3CuO8, optimized geometry; values from VASP
! energy relative to the lowest polymorph listed for this composition	0.0000	eV per atom
&SYSTEM
  ibrav = 0, nat = 56, ntyp = 4
/
ATOMIC_SPECIES
Li 6.94 Li.upf
Mn 54.94 Mn.upf
Cu 63.55 Cu.upf
O 16.00 O.upf
CELL_PARAMETERS angstrom
8.3072 0.0000 0.0000
-0.0035 8.3142 0.0000
-0.0432 -0.0385 8.3856
ATOMIC_POSITIONS crystal
Li 0.0000 0.0000 0.0000
Li 0.0042 0.5009 0.5009
Li 0.2445 0.7403 0.7459
Li 0.2503 0.2453 0.2513
Li 0.4936 0.4895 0.0060
Li 0.5047 0.9952 0.4963
Li 0.7440 0.7504 0.2501
Li 0.7550 0.2402 0.7561
Mn 0.1232 0.6231 0.1318
Mn 0.1246 0.8779 0.3682
Mn 0.1263 0.1209 0.6176
Mn 0.3657 0.8774 0.1225
Mn 0.3677 0.1171 0.8716
Mn 0.3776 0.3619 0.6193
Mn 0.6204 0.8676 0.8806
Mn 0.6257 0.6163 0.6300
Mn 0.6291 0.3656 0.3792
Mn 0.8712 0.6219 0.8859
Mn 0.8814 0.3737 0.1347
Mn 0.8816 0.1220 0.3694
Cu 0.1227 0.3703 0.8752
Cu 0.3759 0.6221 0.3771
Cu 0.6235 0.1209 0.1262
Cu 0.8755 0.8695 0.6258
O 0.1031 0.6154 0.8986
O 0.1088 0.3988 0.1455
O 0.1143 0.1104 0.3864
O 0.1177 0.8870 0.6004
O 0.1322 0.6469 0.3610
O 0.1335 0.8583 0.1347
O 0.1359 0.1264 0.8468
O 0.1509 0.3490 0.6057
O 0.3519 0.1041 0.0945
O 0.3539 0.8914 0.3476
O 0.3549 0.6402 0.1361
O 0.3638 0.1272 0.6374
O 0.3642 0.3494 0.8545
O 0.3826 0.8802 0.8853
O 0.3921 0.5962 0.6165
O 0.4040 0.3507 0.3944
O 0.5976 0.8804 0.1106
O 0.6037 0.0995 0.8838
O 0.6166 0.3797 0.6157
O 0.6208 0.6012 0.3998
O 0.6312 0.8485 0.6470
O 0.6334 0.6297 0.8661
O 0.6440 0.3626 0.1487
O 0.6504 0.1338 0.3663
O 0.8473 0.8502 0.8960
O 0.8589 0.6269 0.6532
O 0.8641 0.3604 0.3677
O 0.8833 0.3871 0.9018
O 0.8853 0.6093 0.1189
O 0.8946 0.1130 0.6040
O 0.8949 0.1490 0.1450
O 0.8952 0.8956 0.3571